1.
# BaRuSe2 | Alexandria | PBE | relaxed
data_BaRuSe2
_symmetry_space_group_name_H-M 'P 1'
_symmetry_Int_Tables_number 1
_symmetry_space_group_name_Hall 'P 1'
_cell_length_a 3.469
_cell_length_b 3.469
_cell_length_c 7.464
_cell_angle_alpha 90.00
_cell_angle_beta 90.00
_cell_angle_gamma 90.00
loop_
_atom_site_label
_atom_site_fract_x
_atom_site_fract_y
_atom_site_fract_z
_atom_site_occupancy
Ba1 0.000 0.000 0.000 1
Ru1 0.000 0.000 0.500 1
Se1 0.500 0.500 0.305 1
Se2 0.500 0.500 0.695 1
# Space-group type: P4/mmm
# Spin magnetization: 1.1 μB/f.u.
# Volume: 89.8 Å³ per cell
# Density of states at the Fermi level: 5.288 states/eV/cell
# E above lowest polymorph: 653.0 meV per atom
# ΔE_f (raw): -201 meV/atom

2.
# BaRuSe | Alexandria | PBE | relaxed
data_BaRuSe
_symmetry_space_group_name_H-M 'P 1'
_symmetry_Int_Tables_number 1
_symmetry_space_group_name_Hall 'P 1'
_cell_length_a 4.822
_cell_length_b 4.822
_cell_length_c 4.822
_cell_angle_alpha 60.00
_cell_angle_beta 60.00
_cell_angle_gamma 60.00
loop_
_atom_site_label
_atom_site_fract_x
_atom_site_fract_y
_atom_site_fract_z
_atom_site_occupancy
Ba1 0.000 0.000 0.000 1
Ru1 0.250 0.250 0.250 1
Se1 0.500 0.500 0.500 1
# Space-group type: F-43m
# Spin magnetization: 2.0 μB/f.u.
# Volume: 79.3 Å³ per cell
# Density of states at the Fermi level: 3.359 states/eV/cell
# E above lowest polymorph: 537.5 meV per atom
# ΔE_f (raw): 51 meV/atom

3.
# BaRuSe2 | Alexandria | PBE | relaxed
data_BaRuSe2
_symmetry_space_group_name_H-M 'P 1'
_symmetry_Int_Tables_number 1
_symmetry_space_group_name_Hall 'P 1'
_cell_length_a 5.203
_cell_length_b 3.931
_cell_length_c 5.315
_cell_angle_alpha 90.00
_cell_angle_beta 103.74
_cell_angle_gamma 90.00
loop_
_atom_site_label
_atom_site_fract_x
_atom_site_fract_y
_atom_site_fract_z
_atom_site_occupancy
Ba1 0.000 0.000 0.000 1
Ru1 0.500 0.000 0.500 1
Se1 0.327 0.500 0.689 1
Se2 0.673 0.500 0.311 1
# Space-group type: P2/m
# Spin magnetization: 0.0 μB/f.u.
# Volume: 105.6 Å³ per cell
# Density of states at the Fermi level: 2.724 states/eV/cell
# E above lowest polymorph: 185.4 meV per atom
# ΔE_f (raw): -668 meV/atom

4.
# BaRuSe2 | Alexandria | PBE | relaxed
data_BaRuSe2
_symmetry_space_group_name_H-M 'P 1'
_symmetry_Int_Tables_number 1
_symmetry_space_group_name_Hall 'P 1'
_cell_length_a 3.362
_cell_length_b 3.362
_cell_length_c 9.296
_cell_angle_alpha 90.00
_cell_angle_beta 90.00
_cell_angle_gamma 90.00
loop_
_atom_site_label
_atom_site_fract_x
_atom_site_fract_y
_atom_site_fract_z
_atom_site_occupancy
Ba1 0.000 0.000 0.000 1
Ru1 0.500 0.500 0.283 1
Se1 0.000 0.000 0.385 1
Se2 0.500 0.500 0.765 1
# Space-group type: P4mm
# Spin magnetization: 0.0 μB/f.u.
# Volume: 105.1 Å³ per cell
# Density of states at the Fermi level: 2.733 states/eV/cell
# E above lowest polymorph: 640.4 meV per atom
# ΔE_f (raw): -213 meV/atom

5.
# BaRuSe2 | Alexandria | PBE | relaxed
data_BaRuSe2
_symmetry_space_group_name_H-M 'P 1'
_symmetry_Int_Tables_number 1
_symmetry_space_group_name_Hall 'P 1'
_cell_length_a 3.736
_cell_length_b 3.736
_cell_length_c 7.745
_cell_angle_alpha 90.00
_cell_angle_beta 90.00
_cell_angle_gamma 90.00
loop_
_atom_site_label
_atom_site_fract_x
_atom_site_fract_y
_atom_site_fract_z
_atom_site_occupancy
Ba1 0.000 0.000 0.000 1
Ru1 0.500 0.500 0.477 1
Se1 0.000 0.000 0.413 1
Se2 0.500 0.500 0.792 1
# Space-group type: P4mm
# Spin magnetization: 1.2 μB/f.u.
# Volume: 108.1 Å³ per cell
# Density of states at the Fermi level: 4.502 states/eV/cell
# E above lowest polymorph: 522.4 meV per atom
# ΔE_f (raw): -331 meV/atom

6.
# BaRuSe2 | Alexandria | PBE | relaxed
data_BaRuSe2
_symmetry_space_group_name_H-M 'P 1'
_symmetry_Int_Tables_number 1
_symmetry_space_group_name_Hall 'P 1'
_cell_length_a 5.583
_cell_length_b 5.583
_cell_length_c 5.583
_cell_angle_alpha 138.87
_cell_angle_beta 110.90
_cell_angle_gamma 83.69
loop_
_atom_site_label
_atom_site_fract_x
_atom_site_fract_y
_atom_site_fract_z
_atom_site_occupancy
Ba1 0.000 0.000 0.000 1
Ru1 0.500 0.500 0.000 1
Se1 0.318 0.818 0.500 1
Se2 0.682 0.182 0.500 1
# Space-group type: Immm
# Spin magnetization: 0.0 μB/f.u.
# Volume: 103.3 Å³ per cell
# Density of states at the Fermi level: 3.892 states/eV/cell
# E above lowest polymorph: 132.7 meV per atom
# ΔE_f (raw): -721 meV/atom

7.
# BaRuSe3 | Alexandria | PBE | relaxed
data_BaRuSe3
_symmetry_space_group_name_H-M 'P 1'
_symmetry_Int_Tables_number 1
_symmetry_space_group_name_Hall 'P 1'
_cell_length_a 6.005
_cell_length_b 6.005
_cell_length_c 6.005
_cell_angle_alpha 90.00
_cell_angle_beta 90.00
_cell_angle_gamma 90.00
loop_
_atom_site_label
_atom_site_fract_x
_atom_site_fract_y
_atom_site_fract_z
_atom_site_occupancy
Ba1 0.000 0.000 0.000 1
Ru1 0.500 0.500 0.500 1
Se1 0.000 0.000 0.500 1
Se2 0.000 0.500 0.000 1
Se3 0.500 0.000 0.000 1
# Space-group type: Pm-3m
# Spin magnetization: 6.0 μB/f.u.
# Volume: 216.5 Å³ per cell
# Density of states at the Fermi level: 10.068 states/eV/cell
# E above lowest polymorph: 1828.7 meV per atom
# ΔE_f (raw): 1180 meV/atom

8.
# BaRuSe3 | Alexandria | PBE | relaxed
data_BaRuSe3
_symmetry_space_group_name_H-M 'P 1'
_symmetry_Int_Tables_number 1
_symmetry_space_group_name_Hall 'P 1'
_cell_length_a 5.060
_cell_length_b 5.060
_cell_length_c 5.060
_cell_angle_alpha 90.00
_cell_angle_beta 90.00
_cell_angle_gamma 90.00
loop_
_atom_site_label
_atom_site_fract_x
_atom_site_fract_y
_atom_site_fract_z
_atom_site_occupancy
Ba1 0.000 0.000 0.000 1
Ru1 0.500 0.500 0.500 1
Se1 0.000 0.500 0.500 1
Se2 0.500 0.000 0.500 1
Se3 0.500 0.500 0.000 1
# Space-group type: Pm-3m
# Spin magnetization: 2.5 μB/f.u.
# Volume: 129.5 Å³ per cell
# Density of states at the Fermi level: 3.991 states/eV/cell
# E above lowest polymorph: 0.0 meV per atom
# ΔE_f (raw): -648 meV/atom

Please write out number 7 again, unchanged.
# BaRuSe3 | Alexandria | PBE | relaxed
data_BaRuSe3
_symmetry_space_group_name_H-M 'P 1'
_symmetry_Int_Tables_number 1
_symmetry_space_group_name_Hall 'P 1'
_cell_length_a 6.005
_cell_length_b 6.005
_cell_length_c 6.005
_cell_angle_alpha 90.00
_cell_angle_beta 90.00
_cell_angle_gamma 90.00
loop_
_atom_site_label
_atom_site_fract_x
_atom_site_fract_y
_atom_site_fract_z
_atom_site_occupancy
Ba1 0.000 0.000 0.000 1
Ru1 0.500 0.500 0.500 1
Se1 0.000 0.000 0.500 1
Se2 0.000 0.500 0.000 1
Se3 0.500 0.000 0.000 1
# Space-group type: Pm-3m
# Spin magnetization: 6.0 μB/f.u.
# Volume: 216.5 Å³ per cell
# Density of states at the Fermi level: 10.068 states/eV/cell
# E above lowest polymorph: 1828.7 meV per atom
# ΔE_f (raw): 1180 meV/atom

Which of these has the lowest ΔE_f (raw)? number 6

Among the records above, which one has the highest E above lowest polymorph? number 7